DyCd2Pb: optimized geometry, PBE.

Summary:
Magnetic moment ... 0.0 μB/cell
Space group ... P4/mmm (123)
Energy ... -2.859 eV per atom

a = 4.5129 Å, b = 4.5129 Å, c = 4.8895 Å
α = 90.00°, β = 90.00°, γ = 90.00°
Atoms (fractional coordinates):
Cd 0.5000 0.0000 0.0000
Cd 0.0000 0.5000 0.0000
Dy 0.5000 0.5000 0.5000
Pb 0.0000 0.0000 0.5000